Density functional theory data (GGA-PBE) for a geometry-optimized CaMgTc structure.

Cell: 4.9546 4.9546 2.8471 Å, 90.00 90.00 120.00°
Fractional positions:
Ca (0.0000, 0.0000, 0.9965)
Mg (0.6667, 0.3333, 0.3983)
Tc (0.3333, 0.6667, 0.6052)

DOS(E_F)	2.72	states/eV/f.u.
energy of formation	0.467	eV per atom
total DFT energy (no corrections)	-4.188	eV per atom
magnetic moment	0.00	μB per formula unit